1.
The following is a GGA-PBE calculation of a geometry-optimized Eu2CuSi structure, from Alexandria via LeMat-Bulk.

The structure in POSCAR format:
```
Eu2CuSi
1.0
3.5066 0.0000 0.0000
0.0000 5.2739 0.0000
0.0000 0.0000 5.2739
Cu Si Eu
1 1 2
direct
0.5000 0.0000 0.0000 Cu
0.5000 0.5000 0.5000 Si
0.0000 0.5000 0.0000 Eu
0.0000 0.0000 0.5000 Eu
```

Space-group type: P4/mmm
M_tot in μB per cell: 13.89
N(E_F) in states/eV/f.u.: 11.43
VASP energy in eV for the cell shown: -31.03

2.
The following is a GGA-PBE calculation of a geometry-optimized EuCuSi structure, from Alexandria via LeMat-Bulk.

The structure in POSCAR format:
```
EuCuSi
1.0
4.2182 0.0000 0.0000
0.0000 4.1487 0.0000
0.0000 -2.0744 3.5929
Si Eu Cu
1 1 1
direct
0.1667 0.0000 0.0000 Si
0.6667 0.3333 0.6667 Eu
0.1666 0.6667 0.3333 Cu
```

Space-group type: P-6m2
M_tot in μB per cell: 6.78
N(E_F) in states/eV/f.u.: 8.80
VASP energy in eV for the cell shown: -21.07

3.
The following is a GGA-PBE calculation of a geometry-optimized SrEuCuSi structure, from Alexandria via LeMat-Bulk.

The structure in POSCAR format:
```
SrEuCuSi
1.0
5.2525 0.0000 0.0000
2.6262 4.5488 0.0000
2.6262 1.5163 4.2886
Cu Eu Sr Si
1 1 1 1
direct
0.7500 0.7500 0.7500 Cu
0.5000 0.5000 0.5000 Eu
0.0000 0.0000 0.0000 Sr
0.2500 0.2500 0.2500 Si
```

Space-group type: F-43m
M_tot in μB per cell: 6.81
N(E_F) in states/eV/f.u.: 10.59
VASP energy in eV for the cell shown: -22.22

4.
The following is a GGA-PBE calculation of a geometry-optimized TbEuCuSi structure, from Alexandria via LeMat-Bulk.

The structure in POSCAR format:
```
TbEuCuSi
1.0
5.0464 0.0000 0.0000
2.5232 4.3703 0.0000
2.5232 1.4568 4.1204
Cu Tb Eu Si
1 1 1 1
direct
0.2500 0.2500 0.2500 Cu
0.5000 0.5000 0.5000 Tb
0.0000 0.0000 0.0000 Eu
0.7500 0.7500 0.7500 Si
```

Space-group type: F-43m
M_tot in μB per cell: 7.24
N(E_F) in states/eV/f.u.: 6.16
VASP energy in eV for the cell shown: -25.84

Repeat the first record exactly.
The following is a GGA-PBE calculation of a geometry-optimized Eu2CuSi structure, from Alexandria via LeMat-Bulk.

The structure in POSCAR format:
```
Eu2CuSi
1.0
3.5066 0.0000 0.0000
0.0000 5.2739 0.0000
0.0000 0.0000 5.2739
Cu Si Eu
1 1 2
direct
0.5000 0.0000 0.0000 Cu
0.5000 0.5000 0.5000 Si
0.0000 0.5000 0.0000 Eu
0.0000 0.0000 0.5000 Eu
```

Space-group type: P4/mmm
M_tot in μB per cell: 13.89
N(E_F) in states/eV/f.u.: 11.43
VASP energy in eV for the cell shown: -31.03

- What is the M_tot in the first record?
  13.89 μB per cell

- Which of these has the lowest N(E_F)?
  TbEuCuSi